The following is a DFT calculation (GGA-PBE) of ZrAg2Sb after structural relaxation.

Its crystal system is cubic. The calculation puts the density of states at the Fermi level at 0.829 states/eV/atom. The final energy comes out at -4.638 eV/atom. The uncorrected formation energy is -0.04 eV/atom.

It has space group F-43m (No. 216), with a = 6.923 Å, b = 6.923 Å, c = 6.923 Å, α = 90.00°, β = 90.00° and γ = 90.00°. Symmetry generates all atoms from Zr at (0.000, 0.000, 0.000), Ag at (0.000, 0.000, 0.500), Ag at (0.250, 0.250, 0.750) and Sb at (0.250, 0.250, 0.250).